# 1
A plane-wave DFT calculation with GGA-PBE was carried out for a geometry-optimized NaZrPS2 structure.

a = 4.702 Å, b = 4.702 Å, c = 4.672 Å
α = 90.00°, β = 90.00°, γ = 90.00°
Atoms (fractional coordinates):
S 0.500 0.000 0.000
S 0.000 0.500 0.000
P 0.000 0.000 0.500
Zr 0.500 0.500 0.500
Na 0.000 0.000 0.000

Properties
**Crystal system**: tetragonal
**Offset from the most stable computed form**: 1232 meV per atom
**SG**: No. 123
**Energy relative to the elements, uncorrected**: 3.1 eV/f.u.

# 2
A plane-wave DFT calculation with GGA-PBE was carried out for a geometry-optimized Dy6Tm2Ru structure.

a = 3.664 Å, b = 8.560 Å, c = 12.537 Å
α = 136.33°, β = 90.00°, γ = 90.00°
Atoms (fractional coordinates):
Dy 0.000 0.733 0.698
Dy 0.500 0.286 0.052
Dy 0.500 0.714 0.948
Dy 0.000 0.267 0.302
Dy 0.000 0.223 0.778
Dy 0.000 0.777 0.222
Ru 0.000 0.000 0.000
Tm 0.500 0.767 0.467
Tm 0.500 0.233 0.533

Properties
**Formation energy**: -0.062 eV per atom
**Crystal system**: monoclinic
**SG**: No. 10

# 3
A plane-wave DFT calculation with GGA-PBE was carried out for a geometry-optimized Au2I3Br structure.

a = 4.410 Å, b = 8.186 Å, c = 13.690 Å
α = 97.22°, β = 99.27°, γ = 90.00°
Atoms (fractional coordinates):
Br 0.315 0.978 0.630
Br 0.685 0.022 0.370
I 0.722 0.663 0.444
I 0.598 0.343 0.196
I 0.402 0.657 0.804
I 0.278 0.337 0.556
I 0.051 0.838 0.101
I 0.949 0.162 0.899
Au 0.050 0.182 0.101
Au 0.700 0.329 0.399
Au 0.300 0.671 0.601
Au 0.950 0.818 0.899

Properties
**Crystal system**: monoclinic
**Offset from the most stable computed form**: 106 meV per atom
**SG**: No. 12
**Energy relative to the elements, uncorrected**: 0.2 eV/f.u.

# 4
A plane-wave DFT calculation with GGA-PBE was carried out for a geometry-optimized HfInHg structure.

a = 5.935 Å, b = 5.864 Å, c = 8.055 Å
α = 90.00°, β = 101.31°, γ = 90.00°
Atoms (fractional coordinates):
Hf 0.793 0.155 0.407
Hf 0.293 0.345 0.407
Hf 0.707 0.655 0.593
Hf 0.207 0.845 0.593
Hg 0.561 0.736 0.924
Hg 0.939 0.236 0.076
Hg 0.439 0.264 0.076
Hg 0.061 0.764 0.924
In 0.121 0.328 0.736
In 0.621 0.172 0.736
In 0.879 0.672 0.264
In 0.379 0.828 0.264

Properties
**Formation energy**: 0.016 eV per atom
**Crystal system**: monoclinic
**Offset from the most stable computed form**: 16 meV per atom
**SG**: No. 14

# 5
A plane-wave DFT calculation with GGA-PBE was carried out for a geometry-optimized CrPd4Pt structure.

a = 2.810 Å, b = 3.860 Å, c = 8.350 Å
α = 90.00°, β = 90.00°, γ = 90.00°
Each line ends with the local moment (μB).
Atoms (fractional coordinates):
Pd 0.500 0.000 0.829  -0.08
Pd 0.500 0.000 0.171  -0.08
Pd 0.000 0.500 0.660  -0.01
Pd 0.000 0.500 0.340  -0.01
Cr 0.500 0.000 0.500  2.77
Pt 0.000 0.500 0.000  -0.06

Properties
**Formation energy**: -0.034 eV per atom
**Crystal system**: orthorhombic
**Offset from the most stable computed form**: 0 meV per atom
**SG**: No. 47

# 6
A plane-wave DFT calculation with GGA-PBE was carried out for a geometry-optimized Li7SbN2 structure.

a = 3.979 Å, b = 6.212 Å, c = 6.212 Å
α = 117.19°, β = 90.00°, γ = 90.00°
Atoms (fractional coordinates):
N 0.500 0.309 0.691
N 0.500 0.691 0.309
Li 0.000 0.305 0.695
Li 0.500 0.040 0.348
Li 0.000 0.695 0.305
Li 0.500 0.652 0.960
Li 0.500 0.348 0.040
Li 0.500 0.960 0.652
Li 0.500 0.500 0.500
Sb 0.000 0.000 0.000

Properties
**Crystal system**: orthorhombic
**SG**: No. 65
**Energy relative to the elements, uncorrected**: -3.3 eV/f.u.

# 7
A plane-wave DFT calculation with GGA-PBE was carried out for a geometry-optimized Nb2ZnMoH structure.

a = 4.167 Å, b = 4.167 Å, c = 3.971 Å
α = 90.00°, β = 90.00°, γ = 90.00°
Atoms (fractional coordinates):
Zn 0.500 0.500 0.500
Mo 0.000 0.000 0.500
Nb 0.500 0.000 0.000
Nb 0.000 0.500 0.000
H 0.000 0.000 0.000

Properties
**Crystal system**: tetragonal
**Offset from the most stable computed form**: 0 meV per atom
**SG**: No. 123

# 8
A plane-wave DFT calculation with GGA-PBE was carried out for a geometry-optimized CsPdPb4 structure.

a = 7.363 Å, b = 6.209 Å, c = 12.649 Å
α = 125.78°, β = 108.26°, γ = 92.12°
Atoms (fractional coordinates):
Pd 0.000 0.500 0.500
Pd 0.500 0.000 0.500
Pb 0.598 0.048 0.315
Pb 0.741 0.557 0.651
Pb 0.887 0.996 0.602
Pb 0.259 0.443 0.349
Pb 0.764 0.477 0.262
Pb 0.402 0.952 0.685
Pb 0.113 0.004 0.398
Pb 0.236 0.523 0.738
Cs 0.219 0.286 0.996
Cs 0.781 0.714 0.004

Properties
**Formation energy**: -0.144 eV per atom
**Crystal system**: triclinic
**Offset from the most stable computed form**: 87 meV per atom
**SG**: No. 2